4
Lattice="5.018 -1.641 0.000 5.018 1.641 0.000 -0.910 0.000 5.183" Properties=species:S:1:pos:R:3 comment="GGA-PBE LiAlIn2, optimized geometry" magnetic_moment_mub_per_fu=0.00 formation_enthalpy_0k_ev_per_atom=-0.04 dft_energy_ev_per_atom=-2.826 pbc="T T T"
Li 0.000 0.000 0.000
Al 1.928 0.000 3.859
In 4.648 0.000 2.718
In 7.317 0.000 1.143